1.
Rb2CdPbCl6: optimized geometry, PBE-GGA.

Summary:
Total magnetization   0.00 μB per cell
Volume   33.734 Å³/atom
Symmetry   P4mm, No. 99
Crystal system   tetragonal

Cell lengths 5.724, 7.677, 7.677 Å; angles 90.00, 90.00, 90.00 degrees
Element x y z (fractional)
Cl  0.144  0.500  0.500
Cl  0.685  0.238  0.238
Cl  0.685  0.762  0.762
Cl  0.685  0.238  0.762
Cl  0.165  0.000  0.000
Cl  0.685  0.762  0.238
Rb  0.075  0.000  0.500
Rb  0.075  0.500  0.000
Pb  0.638  0.500  0.500
Cd  0.609  0.000  0.000

---

2.
RbCdPbCl5: optimized geometry, PBE-GGA.

Summary:
Total magnetization   0.00 μB per cell
Volume   35.733 Å³/atom
Symmetry   C2/c, No. 15
Crystal system   monoclinic

Cell lengths 7.936, 7.936, 10.349 Å; angles 103.66, 103.66, 107.07 degrees
Element x y z (fractional)
Cd  0.684  0.316  0.250
Cd  0.316  0.684  0.750
Cl  0.090  0.910  0.250
Cl  0.261  0.386  0.564
Cl  0.328  0.912  0.618
Cl  0.910  0.090  0.750
Cl  0.739  0.614  0.436
Cl  0.614  0.739  0.936
Cl  0.386  0.261  0.064
Cl  0.912  0.328  0.118
Cl  0.672  0.088  0.382
Cl  0.088  0.672  0.882
Pb  0.000  0.000  0.500
Pb  0.000  0.000  0.000
Rb  0.344  0.656  0.250
Rb  0.656  0.344  0.750

---

Number 1: formation energy from raw total energies -1.450 eV per atom, Fermi-level density of states 0.00 states/eV/f.u.. Number 2: formation energy from raw total energies -1.342 eV per atom, Fermi-level density of states 0.00 states/eV/f.u..